Record 1
Entry from Alexandria via LeMat-Bulk: crystalline TbCd3Cu8 at its relaxed geometry (PBE).

```
TbCd3Cu8
1.0
5.1063 0.0000 0.0000
-2.5532 4.4222 0.0000
0.0000 0.0000 8.2017
Tb Cd Cu
1 3 8
Direct
0.0000 0.0000 0.0000 Tb
0.0000 0.0000 0.3887 Cd
0.6667 0.3333 0.4964 Cd
0.6667 0.3333 0.8631 Cd
0.1664 0.3328 0.6855 Cu
0.1664 0.8336 0.6855 Cu
0.3333 0.6667 0.4340 Cu
0.3333 0.6667 0.9381 Cu
0.5024 0.0048 0.1900 Cu
0.5024 0.4976 0.1900 Cu
0.6672 0.8336 0.6855 Cu
0.9952 0.4976 0.1900 Cu
```

Properties
Volume in Å³/cell: 185
E in eV/atom: -3.442
ΔH_f (0 K) in eV per atom: -0.096
Theoretical density in Mg/m³: 9.01
Symmetry: P3m1, No. 156
N(E_F) in states/eV/atom: 0.518

=====

Record 2
Entry from Alexandria via LeMat-Bulk: crystalline Tb6CdCu at its relaxed geometry (PBE).

```
Tb6CdCu
1.0
6.9759 0.0000 0.0000
3.2562 6.1762 0.0000
3.2636 1.9712 5.8503
Tb Cd Cu
6 1 1
Direct
0.0336 0.2712 0.4362 Tb
0.2291 0.0639 0.9660 Tb
0.4372 0.5332 0.7708 Tb
0.5628 0.4668 0.2292 Tb
0.7709 0.9361 0.0340 Tb
0.9664 0.7288 0.5638 Tb
0.5000 0.0000 0.5000 Cd
0.0000 0.5000 0.0000 Cu
```

Properties
Volume in Å³/cell: 252
E in eV/atom: -3.929
ΔH_f (0 K) in eV per atom: 0.170
Theoretical density in Mg/m³: 7.44
Symmetry: P-1, No. 2
N(E_F) in states/eV/atom: 1.494